[1]
## CsHf2CuGe (meta-GGA SCAN)

Data for CsHf2CuGe at its PBEsol-relaxed geometry.

Values from the calculation:
Energy of formation from the pure elements: 92.0 kJ/mol of atoms

a = 4.506 Å, b = 5.080 Å, c = 5.080 Å
α = 90.00°, β = 90.00°, γ = 90.00°
Fractional positions:
Cs: 0.500 0.500 0.500
Ge: 0.500 0.000 0.000
Hf: 0.000 0.000 0.500
Hf: 0.000 0.500 0.000
Cu: 0.000 0.000 0.000

=====

[2]
## MgGa2S (meta-GGA SCAN)

Data for MgGa2S at its PBEsol-relaxed geometry.

Values from the calculation:
Formation energy (no corrections): 0.224 eV/atom

a = 4.791 Å, b = 4.791 Å, c = 4.791 Å
α = 60.00°, β = 60.00°, γ = 60.00°
Fractional positions:
S: 0.500 0.500 0.500
Mg: 0.000 0.000 0.000
Ga: 0.250 0.250 0.250
Ga: 0.750 0.750 0.750

=====

[3]
## Ta2OsAu (meta-GGA SCAN)

Data for Ta2OsAu at its PBEsol-relaxed geometry.

Values from the calculation:
Energy of formation from the pure elements: 7.7 kJ/mol of atoms

a = 2.787 Å, b = 2.787 Å, c = 8.975 Å
α = 90.00°, β = 90.00°, γ = 108.48°
Fractional positions:
Au: 0.000 0.000 0.499
Os: 0.500 0.500 0.239
Ta: 0.000 0.000 0.010
Ta: 0.500 0.500 0.752